(1)
Entry from OQMD via LeMat-Bulk: a relaxed structure of K4Pt (PBE-GGA).

Results
- M_tot (μB per formula unit) = 0.0
- polymorph energy (0 for the lowest one) (eV per atom) = 0.0000

a = 15.6625 Å, b = 15.6625 Å, c = 4.1396 Å
α = 90.00°, β = 90.00°, γ = 90.00°
Fractional positions:
K  0.6328  0.6328  0.5000
K  0.8672  0.3641  0.0000
K  0.8641  0.8641  0.5000
K  0.1359  0.1359  0.5000
K  0.1359  0.3672  0.5000
K  0.3641  0.8672  0.0000
K  0.8641  0.6328  0.5000
K  0.8672  0.1328  0.0000
K  0.6359  0.3641  0.0000
K  0.1328  0.6359  0.0000
K  0.3641  0.6359  0.0000
K  0.6359  0.1328  0.0000
K  0.3672  0.3672  0.5000
K  0.3672  0.1359  0.5000
K  0.6328  0.8641  0.5000
K  0.1328  0.8672  0.0000
Pt  0.2485  0.7515  0.5000
Pt  0.2515  0.2515  0.0000
Pt  0.7515  0.2485  0.5000
Pt  0.7485  0.7485  0.0000



(2)
Entry from OQMD via LeMat-Bulk: a relaxed structure of K2Pt (PBE-GGA).

Results
- M_tot (μB per formula unit) = 0.0
- total DFT energy (no corrections) (eV/cell) = -8.3

a = 5.4122 Å, b = 5.4122 Å, c = 5.4122 Å
α = 60.00°, β = 60.00°, γ = 60.00°
Fractional positions:
K  0.7500  0.7500  0.7500
K  0.2500  0.2500  0.2500
Pt  0.0000  0.0000  0.0000



(3)
Entry from OQMD via LeMat-Bulk: a relaxed structure of K2Pt (PBE-GGA).

Results
- M_tot (μB per formula unit) = 0.0
- total DFT energy (no corrections) (eV/cell) = -12.9

a = 6.1749 Å, b = 6.1749 Å, c = 6.1749 Å
α = 60.00°, β = 60.00°, γ = 60.00°
Fractional positions:
K  0.1250  0.6250  0.6250
K  0.6250  0.6250  0.1250
K  0.6250  0.6250  0.6250
K  0.6250  0.1250  0.6250
Pt  0.0000  0.0000  0.0000
Pt  0.2500  0.2500  0.2500



(4)
Entry from OQMD via LeMat-Bulk: a relaxed structure of KPt8 (PBE-GGA).

Results
- M_tot (μB per formula unit) = 0.0
- total DFT energy (no corrections) (eV/cell) = -95.9

a = 12.6157 Å, b = 12.3917 Å, c = 5.3872 Å
α = 79.90°, β = 75.24°, γ = 24.86°
Fractional positions:
Pt  0.9031  0.3494  0.8029
Pt  0.7235  0.6912  0.0411
Pt  0.5588  0.5265  0.7058
Pt  0.7058  0.2089  0.5588
Pt  0.5265  0.5588  0.2089
Pt  0.9446  0.8029  0.3494
Pt  0.3054  0.4471  0.9006
Pt  0.3469  0.9006  0.4471
Pt  0.8029  0.9446  0.9031
Pt  0.5442  0.0411  0.6912
Pt  0.2089  0.7058  0.5265
Pt  0.6912  0.7235  0.5442
Pt  0.9006  0.3469  0.3054
Pt  0.0411  0.5442  0.7235
Pt  0.3494  0.9031  0.9446
Pt  0.4471  0.3054  0.3469
K  0.0000  0.0000  0.0000
K  0.2500  0.2500  0.2500



(5)
Entry from OQMD via LeMat-Bulk: a relaxed structure of K2Pt (PBE-GGA).

Results
- M_tot (μB per formula unit) = 0.0
- total DFT energy (no corrections) (eV/cell) = -14.9

a = 9.7868 Å, b = 9.7868 Å, c = 9.7868 Å
α = 60.00°, β = 60.00°, γ = 60.00°
Fractional positions:
Pt  0.2500  0.2500  0.2500
Pt  0.5000  0.5000  0.5000
K  0.3750  0.3750  0.8750
K  0.3750  0.3750  0.3750
K  0.8750  0.3750  0.3750
K  0.3750  0.8750  0.3750



(6)
Entry from OQMD via LeMat-Bulk: a relaxed structure of K5RbPt2 (PBE-GGA).

Results
- M_tot (μB per formula unit) = 0.1
- total DFT energy (no corrections) (eV/cell) = -18.4

a = 10.0861 Å, b = 8.0409 Å, c = 8.0409 Å
α = 33.46°, β = 90.00°, γ = 90.00°
Fractional positions:
Pt  0.0000  0.2370  0.2370
Pt  0.5000  0.7596  0.7596
K  0.1787  0.8356  0.8356
K  0.3184  0.1636  0.1636
K  0.0000  0.5892  0.5892
K  0.8213  0.8356  0.8356
K  0.6816  0.1636  0.1636
Rb  0.5000  0.4159  0.4159



(7)
Entry from OQMD via LeMat-Bulk: a relaxed structure of KRbPtSe2 (PBE-GGA).

Results
- M_tot (μB per formula unit) = 0.0
- total DFT energy (no corrections) (eV/cell) = -19.6

a = 6.5889 Å, b = 6.5889 Å, c = 6.5889 Å
α = 146.21°, β = 110.43°, γ = 79.63°
Fractional positions:
Se  0.2841  0.5005  0.7836
Se  0.7169  0.5005  0.2164
Rb  0.1978  0.1978  0.0000
K  0.8008  0.8008  0.0000
Pt  0.5005  0.0005  0.5000



(8)
Entry from OQMD via LeMat-Bulk: a relaxed structure of KRbPt2Se4 (PBE-GGA).

Results
- M_tot (μB per formula unit) = 0.0
- total DFT energy (no corrections) (eV/cell) = -33.1

a = 7.3971 Å, b = 7.3493 Å, c = 7.3493 Å
α = 48.09°, β = 90.00°, γ = 90.00°
Fractional positions:
Pt  0.0000  0.4997  0.4997
Pt  0.5000  0.5003  0.5003
Rb  0.5000  0.1592  0.1592
K  0.0000  0.8410  0.8410
Se  0.7492  0.3806  0.3806
Se  0.7522  0.6193  0.6193
Se  0.2508  0.3806  0.3806
Se  0.2478  0.6193  0.6193



(9)
Entry from OQMD via LeMat-Bulk: a relaxed structure of KRbTe2Pt (PBE-GGA).

Results
- M_tot (μB per formula unit) = 0.0
- total DFT energy (no corrections) (eV/cell) = -18.5

a = 7.0075 Å, b = 7.0075 Å, c = 7.0075 Å
α = 146.43°, β = 109.58°, γ = 80.31°
Fractional positions:
Pt  0.5012  0.0012  0.5000
Te  0.2847  0.5011  0.7835
Te  0.7176  0.5011  0.2165
K  0.7930  0.7930  0.0000
Rb  0.2035  0.2035  0.0000



(10)
Entry from OQMD via LeMat-Bulk: a relaxed structure of KRbTl4Pt2 (PBE-GGA).

Results
- M_tot (μB per formula unit) = 0.0
- total DFT energy (no corrections) (eV/cell) = -25.0

a = 8.4202 Å, b = 6.6823 Å, c = 6.6823 Å
α = 39.49°, β = 90.00°, γ = 90.00°
Fractional positions:
Tl  0.1951  0.8401  0.8401
Tl  0.8049  0.8401  0.8401
Tl  0.3012  0.1593  0.1593
Tl  0.6988  0.1593  0.1593
Pt  0.0000  0.2775  0.2775
Pt  0.5000  0.7228  0.7228
Rb  0.5000  0.4496  0.4496
K  0.0000  0.5513  0.5513



(11)
Entry from OQMD via LeMat-Bulk: a relaxed structure of K2PtS15 (PBE-GGA).

Results
- M_tot (μB per formula unit) = 0.0
- total DFT energy (no corrections) (eV/cell) = -150.1

a = 9.0709 Å, b = 9.0709 Å, c = 12.7589 Å
α = 88.39°, β = 88.39°, γ = 66.25°
Fractional positions:
S  0.4469  0.8537  0.1841
S  0.2363  0.2277  0.1017
S  0.2277  0.2363  0.6017
S  0.8434  0.0983  0.5799
S  0.8569  0.6535  0.1316
S  0.0983  0.8434  0.0799
S  0.6442  0.0603  0.5461
S  0.7726  0.3264  0.9270
S  0.9918  0.3735  0.5513
S  0.5711  0.6672  0.4170
S  0.0211  0.2152  0.1577
S  0.0770  0.0863  0.2941
S  0.5911  0.9507  0.7815
S  0.3449  0.5154  0.2218
S  0.2152  0.0211  0.6577
S  0.4244  0.6402  0.8903
S  0.9507  0.5911  0.2815
S  0.0603  0.6442  0.0461
S  0.7898  0.9770  0.8313
S  0.5886  0.4341  0.2298
S  0.3264  0.7726  0.4270
S  0.6672  0.5711  0.9170
S  0.8537  0.4469  0.6841
S  0.4341  0.5886  0.7298
S  0.5154  0.3449  0.7218
S  0.0863  0.0770  0.7941
S  0.6402  0.4243  0.3903
S  0.3735  0.9918  0.0513
S  0.6535  0.8569  0.6316
S  0.9770  0.7898  0.3313
Pt  0.8032  0.2183  0.7518
Pt  0.2183  0.8032  0.2518
K  0.3692  0.1808  0.3540
K  0.0599  0.7214  0.5901
K  0.1808  0.3692  0.8540
K  0.7214  0.0599  0.0901



(12)
Entry from OQMD via LeMat-Bulk: a relaxed structure of K4PtS4 (PBE-GGA).

Results
- M_tot (μB per formula unit) = 2.0
- total DFT energy (no corrections) (eV/cell) = -34.0

a = 6.3293 Å, b = 6.3293 Å, c = 6.9590 Å
α = 97.71°, β = 97.71°, γ = 73.31°
Site moments in Bohr magnetons follow the coordinates.
Fractional positions:
S  0.1176  0.6848  0.7839  0.21
S  0.3152  0.8824  0.2161  0.24
S  0.8824  0.3152  0.2161  0.21
S  0.6848  0.1176  0.7839  0.24
K  0.8271  0.8271  0.3767  0.00
K  0.1729  0.1729  0.6233  0.00
K  0.3638  0.3638  0.1480  0.01
K  0.6362  0.6362  0.8520  0.01
Pt  0.0000  0.0000  0.0000  0.41